DFT (GGA-PBE) results for a relaxed ZnCr2Ir2 crystal.

Properties
**SG**: No. 127
**Total energy**: -7.61 eV/atom
**Energy above the lowest structure with this stoichiometry**: 31 meV/atom
**Total magnetic moment**: 0.0 μB per cell
**Energy of formation from the pure elements**: 0.04 eV per atom

a b c (Å): 7.280 7.280 2.686
angles (deg): 90.00 90.00 90.00
Atoms (fractional coordinates):
Zn (0.000, 0.000, 0.000)
Zn (0.500, 0.500, 0.000)
Cr (0.116, 0.384, 0.000)
Cr (0.384, 0.884, 0.000)
Cr (0.616, 0.116, 0.000)
Cr (0.884, 0.616, 0.000)
Ir (0.172, 0.672, 0.500)
Ir (0.328, 0.172, 0.500)
Ir (0.672, 0.828, 0.500)
Ir (0.828, 0.328, 0.500)

DFT (GGA-PBE) results for a relaxed Ba4PdRh crystal.

Properties
**SG**: No. 14
**Total energy**: -3.66 eV/atom
**Energy above the lowest structure with this stoichiometry**: 0 meV/atom
**Total magnetic moment**: 0.0 μB per cell
**Energy of formation from the pure elements**: -0.28 eV per atom

a b c (Å): 8.875 7.435 8.884
angles (deg): 90.00 116.54 90.00
Atoms (fractional coordinates):
Ba (0.157, 0.234, 0.329)
Ba (0.157, 0.266, 0.829)
Ba (0.330, 0.717, 0.654)
Ba (0.330, 0.783, 0.154)
Ba (0.670, 0.217, 0.846)
Ba (0.670, 0.283, 0.346)
Ba (0.843, 0.734, 0.171)
Ba (0.843, 0.766, 0.671)
Pd (0.500, 0.000, 0.500)
Pd (0.500, 0.500, 0.000)
Rh (0.000, 0.000, 0.000)
Rh (0.000, 0.500, 0.500)

DFT (GGA-PBE) results for a relaxed Co3Ni3Rh crystal.

Properties
**SG**: No. 176
**Total energy**: -6.22 eV/atom
**Energy above the lowest structure with this stoichiometry**: 0 meV/atom
**Total magnetic moment**: 15.7 μB per cell
**Energy of formation from the pure elements**: 0.35 eV per atom

a b c (Å): 8.984 8.984 2.561
angles (deg): 90.00 90.00 120.00
Atoms (fractional coordinates):
Co (0.076, 0.453, 0.250)
Co (0.377, 0.924, 0.250)
Co (0.453, 0.377, 0.750)
Co (0.547, 0.623, 0.250)
Co (0.623, 0.076, 0.750)
Co (0.924, 0.547, 0.750)
Ni (0.072, 0.809, 0.250)
Ni (0.191, 0.263, 0.250)
Ni (0.263, 0.072, 0.750)
Ni (0.737, 0.928, 0.250)
Ni (0.809, 0.737, 0.750)
Ni (0.928, 0.191, 0.750)
Rh (0.333, 0.667, 0.750)
Rh (0.667, 0.333, 0.250)

DFT (GGA-PBE) results for a relaxed TlCuSb2 crystal.

Properties
**Formation energy from raw total energies**: 0.068 eV/atom
**SG**: No. 12
**Total energy**: -3.61 eV/atom
**Energy above the lowest structure with this stoichiometry**: 12 meV/atom
**Total magnetic moment**: 0.0 μB per cell

a b c (Å): 7.005 4.025 7.775
angles (deg): 90.00 106.76 90.00
Atoms (fractional coordinates):
Tl (0.000, 0.000, 0.000)
Tl (0.500, 0.500, 0.000)
Cu (0.000, 0.500, 0.500)
Cu (0.500, 0.000, 0.500)
Sb (0.221, 0.000, 0.672)
Sb (0.279, 0.500, 0.328)
Sb (0.721, 0.500, 0.672)
Sb (0.779, 0.000, 0.328)

DFT (GGA-PBE) results for a relaxed Ag2HgBr2 crystal.

Properties
**Formation energy from raw total energies**: -0.211 eV/atom
**SG**: No. 139
**Total energy**: -2.08 eV/atom
**Energy above the lowest structure with this stoichiometry**: 4 meV/atom
**Total magnetic moment**: 0.0 μB per cell

a b c (Å): 5.519 5.519 13.423
angles (deg): 90.00 90.00 90.00
Atoms (fractional coordinates):
Ag (0.000, 0.000, 0.212)
Ag (0.000, 0.000, 0.788)
Ag (0.500, 0.500, 0.288)
Ag (0.500, 0.500, 0.712)
Hg (0.000, 0.000, 0.000)
Hg (0.500, 0.500, 0.500)
Br (0.000, 0.500, 0.250)
Br (0.000, 0.500, 0.750)
Br (0.500, 0.000, 0.250)
Br (0.500, 0.000, 0.750)

DFT (GGA-PBE) results for a relaxed K2NiTe crystal.

Properties
**Formation energy from raw total energies**: 0.286 eV/atom
**SG**: No. 122
**Total energy**: -2.49 eV/atom
**Total magnetic moment**: 1.6 μB per cell

a b c (Å): 4.709 4.709 22.213
angles (deg): 90.00 90.00 90.00
Atoms (fractional coordinates):
K (0.229, 0.250, 0.125)
K (0.250, 0.729, 0.375)
K (0.250, 0.771, 0.875)
K (0.271, 0.250, 0.625)
K (0.729, 0.750, 0.625)
K (0.750, 0.229, 0.875)
K (0.750, 0.271, 0.375)
K (0.771, 0.750, 0.125)
Ni (0.000, 0.000, 0.000)
Ni (0.000, 0.500, 0.250)
Ni (0.500, 0.000, 0.750)
Ni (0.500, 0.500, 0.500)
Te (0.000, 0.000, 0.500)
Te (0.000, 0.500, 0.750)
Te (0.500, 0.000, 0.250)
Te (0.500, 0.500, 0.000)

DFT (GGA-PBE) results for a relaxed Tb2YCo9 crystal.

Properties
**SG**: No. 166
**Total energy**: -6.80 eV/atom
**Total magnetic moment**: 10.5 μB per cell
**Energy of formation from the pure elements**: -0.16 eV per atom

a b c (Å): 8.631 8.631 8.631
angles (deg): 33.56 33.56 33.56
Atoms (fractional coordinates):
Tb (0.140, 0.140, 0.140)
Tb (0.860, 0.860, 0.860)
Y (0.000, 0.000, 0.000)
Co (0.079, 0.582, 0.582)
Co (0.335, 0.335, 0.335)
Co (0.418, 0.418, 0.921)
Co (0.418, 0.921, 0.418)
Co (0.500, 0.500, 0.500)
Co (0.582, 0.079, 0.582)
Co (0.582, 0.582, 0.079)
Co (0.665, 0.665, 0.665)
Co (0.921, 0.418, 0.418)

DFT (GGA-PBE) results for a relaxed LiLu2Sb crystal.

Properties
**Formation energy from raw total energies**: -0.443 eV/atom
**SG**: No. 123
**Total energy**: -4.21 eV/atom
**Total magnetic moment**: 0.0 μB per cell

a b c (Å): 4.747 4.747 4.225
angles (deg): 90.00 90.00 90.00
Atoms (fractional coordinates):
Li (0.000, 0.000, 0.000)
Lu (0.000, 0.500, 0.500)
Lu (0.500, 0.000, 0.500)
Sb (0.500, 0.500, 0.000)